Here is TmCoP2 after structural relaxation from Alexandria via LeMat-Bulk. Energies are from PBE-GGA.

Structure (POSCAR):
```
TmCoP2
1.0
-0.9967 -2.2407 -2.8410
1.5122 -2.9328 1.7883
-4.2720 1.7680 2.5794
Tm P Co
1 2 1
direct
0.2213 0.8812 0.2282
0.8499 0.5100 0.4853
0.5925 0.2526 0.9711
0.4716 0.6309 0.7282
```

Values from the calculation:
Space-group type: I-4m2
Uncorrected energy, eV/f.u.: -26.31


Here is Tm2CoP after structural relaxation from Alexandria via LeMat-Bulk. Energies are from PBE-GGA.

Structure (POSCAR):
```
Tm2CoP
1.0
3.9125 0.0000 0.0000
0.0000 3.8091 0.0000
0.0000 -1.9045 5.1231
Co Tm P
1 2 1
direct
0.0000 0.6939 0.3879
0.5000 0.2643 0.5287
0.0000 0.9845 0.9691
0.5000 0.5564 0.1128
```

Values from the calculation:
Space-group type: Amm2
Uncorrected energy, eV/f.u.: -25.08


Here is Tm2CoP after structural relaxation from Alexandria via LeMat-Bulk. Energies are from PBE-GGA.

Structure (POSCAR):
```
Tm2CoP
1.0
-0.1406 2.4246 2.7479
1.8996 -0.6049 3.0781
7.0591 4.6163 -1.2646
P Tm Co
1 2 1
direct
0.5000 0.5000 0.5000
0.1005 0.1005 0.6984
0.8995 0.8995 0.3016
0.0000 0.0000 0.0000
```

Values from the calculation:
Space-group type: R-3m
Uncorrected energy, eV/f.u.: -21.72


Here is TmCo3P3 after structural relaxation from Alexandria via LeMat-Bulk. Energies are from PBE-GGA.

Structure (POSCAR):
```
TmCo3P3
1.0
-2.1608 5.9597 -0.1806
-5.9192 1.2851 1.8791
-0.6374 3.3375 6.4114
Co Tm P
6 2 6
direct
0.8817 0.5298 0.3689
0.7804 0.1183 0.6311
0.4702 0.7804 0.6311
0.2196 0.8817 0.3689
0.1183 0.4702 0.6311
0.5298 0.2196 0.3689
0.6668 0.6668 0.9996
0.3332 0.3332 0.0004
0.4059 0.0969 0.7204
0.7768 0.4059 0.7204
0.2232 0.5941 0.2796
0.0969 0.7768 0.7204
0.9031 0.2232 0.2796
0.5941 0.9031 0.2796
```

Values from the calculation:
Space-group type: R-3
Uncorrected energy, eV/f.u.: -47.31
Energy above the lowest structure with this stoichiometry, eV per formula unit: 0.00


Number 1: DFT formation energy -377.3 kJ/mol of formula units. Number 2: DFT formation energy -349.4 kJ/mol of formula units. Number 3: DFT formation energy -25.1 kJ/mol of formula units. Number 4: DFT formation energy -510.9 kJ/mol of formula units.